# Ce3Sm2Sb3

Crystalline Ce3Sm2Sb3 at its relaxed geometry (GGA-PBE, Alexandria via LeMat-Bulk).

Lattice parameters (Å, degrees): 6.469 9.265 9.265 120.00 90.00 90.00
Sites, in units of the cell vectors:
Ce  0.250  0.000  0.748
Ce  0.250  0.748  0.000
Ce  0.750  0.252  0.000
Ce  0.250  0.252  0.252
Sb  0.750  0.388  0.388
Sm  0.000  0.333  0.667
Sb  0.250  0.388  0.000
Ce  0.750  0.000  0.252
Ce  0.750  0.748  0.748
Sb  0.250  0.000  0.388
Sb  0.750  0.612  0.000
Sb  0.250  0.612  0.612
Sm  0.500  0.667  0.333
Sm  0.500  0.333  0.667
Sm  0.000  0.667  0.333
Sb  0.750  0.000  0.612

Values from the calculation:
N(E_F), states/eV per atom: 3.234
Space-group type: P6_3/mcm (193)
Spin magnetization, μB per formula unit: 3.11
E_form (uncorrected), eV/atom: -0.82